a) Y2IO (PBE-GGA, relaxed); M_tot = 0.00 μB/f.u.; volume = 21.23 Å³ per atom; crystal system = cubic; SG = Fm-3m; N(E_F) = 2.5 states/eV/cell
1.0
0.000 3.488 3.488
3.488 0.000 3.488
3.488 3.488 0.000
I Y O
1 2 1
Cartesian
3.488 3.488 3.488
5.233 5.233 5.233
1.744 1.744 1.744
0.000 0.000 0.000

b) Y2IO (PBE-GGA, relaxed); M_tot = 0.00 μB/f.u.; volume = 27.39 Å³ per atom; crystal system = tetragonal; SG = I-42d; N(E_F) = 7.4 states/eV/cell
1.0
-1.410 -5.938 -1.380
6.014 -1.586 0.682
1.411 -4.811 5.076
Y O I
4 2 2
Cartesian
3.457 -6.607 3.621
0.381 -4.448 0.646
3.778 -3.600 1.368
4.415 -10.015 3.120
4.864 -5.080 2.704
2.302 -3.762 -0.349
1.152 -7.256 1.674
0.000 0.000 0.000

Which one is most stable, and which one is least stable? b) is the most stable of them, while a) is the least stable.

a) YZnI2O (PBE-GGA, relaxed); M_tot = 0.00 μB/f.u.; volume = 25.23 Å³ per atom; crystal system = tetragonal; SG = P4/mmm; N(E_F) = 0.8 states/eV/cell
1.0
5.852 0.000 0.000
0.000 5.852 0.000
0.000 0.000 3.683
I Zn Y O
2 1 1 1
Cartesian
0.000 2.926 0.000
2.926 0.000 0.000
0.000 0.000 0.000
2.926 2.926 1.842
0.000 0.000 1.842

b) YZnI2O (PBE-GGA, relaxed); M_tot = 0.10 μB/f.u.; volume = 32.37 Å³ per atom; crystal system = tetragonal; SG = P4/mmm; N(E_F) = 3.6 states/eV/cell
1.0
-4.280 -0.753 -4.460
-2.757 -4.433 3.394
-2.403 2.887 1.819
O I Y Zn
1 2 1 1
Cartesian
-1.202 1.444 0.910
-2.140 -0.376 -2.230
-1.378 -2.217 1.697
0.000 0.000 0.000
-4.720 -1.149 0.377

Which one is most stable, and which one is least stable? b) is the most stable of them, while a) is the least stable.

a) YZnIO2 (PBE-GGA, relaxed); M_tot = 0.00 μB/f.u.; volume = 24.40 Å³ per atom; crystal system = tetragonal; SG = P4/mmm; N(E_F) = 4.2 states/eV/cell
1.0
-1.115 -3.301 -2.524
0.942 -2.746 3.175
-6.201 0.414 2.198
I Zn O Y
1 1 2 1
Cartesian
-3.101 0.207 1.099
-3.187 -2.817 1.424
0.471 -1.373 1.587
-0.557 -1.650 -1.262
0.000 0.000 0.000

b) YZnIO2 (PBE-GGA, relaxed); M_tot = 0.00 μB/f.u.; volume = 17.90 Å³ per atom; crystal system = tetragonal; SG = P4/mmm; N(E_F) = 2.3 states/eV/cell
1.0
4.236 0.000 0.000
0.000 4.236 0.000
0.000 0.000 4.986
Zn O Y I
1 2 1 1
Cartesian
0.000 0.000 0.000
2.118 0.000 0.000
0.000 2.118 0.000
2.118 2.118 2.493
0.000 0.000 2.493

Which one is most stable, and which one is least stable? a) is the most stable of them, while b) is the least stable.

a) YZrIO2 (PBE-GGA, relaxed); M_tot = 1.55 μB/f.u.; volume = 22.42 Å³ per atom; crystal system = tetragonal; SG = P4/mmm; N(E_F) = 5.5 states/eV/cell
1.0
4.359 0.000 0.000
0.000 4.359 0.000
0.000 0.000 5.902
O Zr I Y
2 1 1 1
Cartesian
2.179 0.000 0.000
0.000 2.179 0.000
2.179 2.179 2.951
0.000 0.000 2.951
0.000 0.000 0.000

b) YZrIO2 (PBE-GGA, relaxed); M_tot = 0.00 μB/f.u.; volume = 21.10 Å³ per atom; crystal system = tetragonal; SG = P4/mmm; N(E_F) = 3.9 states/eV/cell
1.0
4.201 0.000 0.000
0.000 4.201 0.000
0.000 0.000 5.978
I O Y Zr
1 2 1 1
Cartesian
0.000 0.000 2.989
2.100 0.000 0.000
0.000 2.100 0.000
2.100 2.100 2.989
0.000 0.000 0.000

Which one is most stable, and which one is least stable? b) is the most stable of them, while a) is the least stable.

a) YbI2O (PBE-GGA, relaxed); M_tot = 0.21 μB/f.u.; volume = 34.58 Å³ per atom; crystal system = orthorhombic; SG = Pnma; N(E_F) = 81.9 states/eV/cell
1.0
-6.236 -0.812 0.286
0.778 -4.332 4.667
-0.865 9.951 9.381
O I Yb
4 8 4
Cartesian
-1.119 -1.166 6.914
-4.881 4.579 10.481
-5.203 5.973 7.420
-1.441 0.228 3.853
-4.702 0.004 1.400
-1.620 4.803 12.933
-1.736 3.821 7.633
-5.143 6.686 10.759
-1.180 -1.880 3.575
-4.467 1.226 9.986
-4.587 0.986 6.701
-1.855 3.581 4.348
-1.641 1.034 1.789
-4.900 3.983 8.368
-4.681 3.773 12.545
-1.422 0.824 5.966

b) YbI2O (PBE-GGA, relaxed); M_tot = 0.20 μB/f.u.; volume = 37.49 Å³ per atom; crystal system = orthorhombic; SG = Pnma; N(E_F) = 37.2 states/eV/cell
1.0
4.531 0.000 0.000
0.000 8.725 0.000
0.000 0.000 15.172
I Yb O
8 4 4
Cartesian
3.398 4.784 5.719
1.133 1.337 5.856
1.133 8.303 13.305
3.398 3.025 13.442
1.133 3.941 9.453
3.398 0.422 1.867
3.398 7.388 9.317
1.133 5.700 1.731
3.398 6.755 14.878
1.133 6.333 7.292
1.133 1.970 0.294
3.398 2.392 7.880
3.398 4.960 13.873
3.398 0.598 8.885
1.133 3.765 1.299
1.133 8.127 6.287

Which one is most stable, and which one is least stable? a) is the most stable of them, while b) is the least stable.

a) Zn2IO (PBE-GGA, relaxed); M_tot = 0.00 μB/f.u.; volume = 21.70 Å³ per atom; crystal system = tetragonal; SG = I-42d; N(E_F) = 2.6 states/eV/cell
1.0
5.661 0.000 0.000
0.000 5.661 0.000
2.831 2.831 5.416
I Zn O
2 4 2
Cartesian
0.000 0.000 0.000
5.661 2.831 2.708
7.077 6.279 4.062
3.448 1.415 1.354
2.213 4.246 1.354
4.246 5.044 4.062
2.831 5.661 2.708
2.831 2.831 0.000

b) Zn2IO (PBE-GGA, relaxed); M_tot = 0.00 μB/f.u.; volume = 17.57 Å³ per atom; crystal system = cubic; SG = Fm-3m; N(E_F) = 1.3 states/eV/cell
1.0
0.000 3.275 3.275
3.275 0.000 3.275
3.275 3.275 0.000
I Zn O
1 2 1
Cartesian
3.275 3.275 3.275
4.913 4.913 4.913
1.638 1.638 1.638
0.000 0.000 0.000

Which one is most stable, and which one is least stable? a) is the most stable of them, while b) is the least stable.

a) ZrZnI2O (PBE-GGA, relaxed); M_tot = 1.15 μB/f.u.; volume = 23.69 Å³ per atom; crystal system = tetragonal; SG = P4/mmm; N(E_F) = 3.8 states/eV/cell
1.0
-4.502 3.206 -1.483
-3.258 -4.696 -0.260
-0.862 0.405 3.491
I Zr O Zn
2 1 1 1
Cartesian
-1.629 -2.348 -0.130
-2.251 1.603 -0.741
-4.311 -0.543 0.874
-0.431 0.202 1.745
0.000 0.000 0.000

b) ZrZnI2O (PBE-GGA, relaxed); M_tot = 0.00 μB/f.u.; volume = 28.43 Å³ per atom; crystal system = tetragonal; SG = P4/mmm; N(E_F) = 1.8 states/eV/cell
1.0
5.935 0.000 0.000
0.000 5.935 0.000
0.000 0.000 4.036
Zn I O Zr
1 2 1 1
Cartesian
2.967 2.967 2.018
0.000 2.967 0.000
2.967 0.000 0.000
0.000 0.000 2.018
0.000 0.000 0.000

Which one is most stable, and which one is least stable? b) is the most stable of them, while a) is the least stable.

a) ZrZnIO2 (PBE-GGA, relaxed); M_tot = 0.28 μB/f.u.; volume = 17.01 Å³ per atom; crystal system = tetragonal; SG = P4/mmm; N(E_F) = 3.1 states/eV/cell
1.0
-0.103 -1.592 3.784
-2.355 -3.077 -1.358
4.130 -2.708 -1.027
Zr Zn I O
1 1 1 2
Cartesian
0.836 -3.688 0.699
0.000 0.000 0.000
2.065 -1.354 -0.513
-0.051 -0.796 1.892
-1.178 -1.539 -0.679

b) ZrZnIO2 (PBE-GGA, relaxed); M_tot = 0.00 μB/f.u.; volume = 21.15 Å³ per atom; crystal system = tetragonal; SG = P4/mmm; N(E_F) = 1.0 states/eV/cell
1.0
-3.951 0.687 -0.935
0.929 -0.114 -4.010
-1.053 -6.147 -0.069
I O Zn Zr
1 2 1 1
Cartesian
-0.526 -3.073 -0.034
0.465 -0.057 -2.005
-1.975 0.344 -0.468
-2.037 -2.787 -2.507
0.000 0.000 0.000

Which one is most stable, and which one is least stable? b) is the most stable of them, while a) is the least stable.

a) Zr2IO (PBE-GGA, relaxed); M_tot = 0.00 μB/f.u.; volume = 18.41 Å³ per atom; crystal system = cubic; SG = Fm-3m; N(E_F) = 4.7 states/eV/cell
1.0
-3.468 -3.138 -0.518
-3.849 1.132 -2.458
-0.776 -1.977 -4.198
O I Zr
1 1 2
Cartesian
0.000 0.000 0.000
-4.047 -1.992 -3.587
-2.023 -0.996 -1.793
-6.070 -2.988 -5.380

b) Zr2IO (PBE-GGA, relaxed); M_tot = 0.00 μB/f.u.; volume = 23.50 Å³ per atom; crystal system = tetragonal; SG = I-42d; N(E_F) = 4.6 states/eV/cell
1.0
5.641 0.000 0.000
0.000 5.641 0.000
2.821 2.821 5.907
I Zr O
2 4 2
Cartesian
0.000 0.000 0.000
5.641 2.821 2.953
2.152 4.231 1.477
7.051 6.309 4.430
3.489 1.410 1.477
4.231 4.973 4.430
2.821 2.821 0.000
2.821 5.641 2.953

Which one is most stable, and which one is least stable? b) is the most stable of them, while a) is the least stable.

a) POs3I (PBE-GGA, relaxed); M_tot = 0.00 μB/f.u.; volume = 17.87 Å³ per atom; crystal system = cubic; SG = Pm-3m; N(E_F) = 4.3 states/eV/cell
1.0
-1.325 3.567 -2.347
0.829 -2.196 -3.805
-4.189 -1.563 -0.011
Os I P
3 1 1
Cartesian
0.415 -1.098 -1.903
-0.662 1.784 -1.173
-2.094 -0.781 -0.006
-2.342 -0.095 -3.082
0.000 0.000 0.000

b) POs3I (PBE-GGA, relaxed); M_tot = 0.00 μB/f.u.; volume = 22.20 Å³ per atom; crystal system = cubic; SG = Pm-3m; N(E_F) = 6.2 states/eV/cell
1.0
-1.287 -3.558 2.963
4.523 -1.625 0.014
0.991 2.793 3.783
I P Os
1 1 3
Cartesian
0.000 0.000 0.000
2.114 -1.195 3.380
-0.644 -1.779 1.482
2.261 -0.812 0.007
0.496 1.396 1.892

Which one is most stable, and which one is least stable? a) is the most stable of them, while b) is the least stable.

a) P2OsSI (PBE-GGA, relaxed); M_tot = 0.00 μB/f.u.; volume = 20.55 Å³ per atom; crystal system = tetragonal; SG = P4/mmm; N(E_F) = 4.3 states/eV/cell
1.0
4.708 0.000 0.000
0.000 4.708 0.000
0.000 0.000 4.635
Os I P S
1 1 2 1
Cartesian
0.000 0.000 0.000
2.354 2.354 2.317
0.000 2.354 0.000
2.354 0.000 0.000
0.000 0.000 2.317

b) P2OsSI (PBE-GGA, relaxed); M_tot = 2.93 μB/f.u.; volume = 25.18 Å³ per atom; crystal system = tetragonal; SG = P4/mmm; N(E_F) = 5.6 states/eV/cell
1.0
5.093 0.000 0.000
0.000 5.093 0.000
0.000 0.000 4.853
P S Os I
2 1 1 1
Cartesian
2.547 0.000 0.000
0.000 2.547 0.000
0.000 0.000 2.427
2.547 2.547 2.427
0.000 0.000 0.000

Which one is most stable, and which one is least stable? a) is the most stable of them, while b) is the least stable.

a) SbPOsI2 (PBE-GGA, relaxed); M_tot = 0.00 μB/f.u.; volume = 29.28 Å³ per atom; crystal system = tetragonal; SG = P4/mmm; N(E_F) = 5.9 states/eV/cell
1.0
5.366 0.000 0.000
0.000 5.366 0.000
0.000 0.000 5.084
Sb I Os P
1 2 1 1
Cartesian
0.000 0.000 2.542
2.683 0.000 0.000
0.000 2.683 0.000
0.000 0.000 0.000
2.683 2.683 2.542

b) SbPOsI2 (PBE-GGA, relaxed); M_tot = 3.50 μB/f.u.; volume = 30.07 Å³ per atom; crystal system = tetragonal; SG = P4/mmm; N(E_F) = 5.3 states/eV/cell
1.0
-0.175 -5.173 0.919
5.184 -0.320 -0.815
0.888 0.910 5.289
Sb Os I P
1 1 2 1
Cartesian
0.444 0.455 2.644
2.948 -2.292 2.697
2.592 -0.160 -0.407
-0.088 -2.587 0.460
0.000 0.000 0.000

Which one is most stable, and which one is least stable? a) is the most stable of them, while b) is the least stable.